1.
DFT (GGA-PBE) results for PmSi3Os after structural relaxation.

Output
DOS at the Fermi energy	0.340	states/eV per atom
magnetic moment	0.000	μB/f.u.
formation energy without anion corrections	-0.63	eV/atom
crystal system	tetragonal

Cell lengths 4.2374, 4.2374, 5.8109 Å; angles 111.38, 111.38, 90.00 degrees
Positions (direct):
1 Pm 0.9968 0.9968 0.9936
2 Os 0.6538 0.6538 0.3076
3 Si 0.7607 0.2606 0.5213
4 Si 0.2607 0.7607 0.5213
5 Si 0.4184 0.4184 0.8367



2.
DFT (GGA-PBE) results for PmSi2Os after structural relaxation.

Output
DOS at the Fermi energy	0.671	states/eV per atom
magnetic moment	0.000	μB/f.u.
formation energy without anion corrections	-0.65	eV/atom
crystal system	trigonal

Cell lengths 4.1034, 4.1034, 5.6050 Å; angles 68.53, 68.53, 60.00 degrees
Positions (direct):
1 Pm 0.0000 0.0000 0.0000
2 Si 0.7894 0.7894 0.6319
3 Si 0.2106 0.2106 0.3681
4 Os 0.5000 0.5000 0.5000



3.
DFT (GGA-PBE) results for Pm4SiOs after structural relaxation.

Output
DOS at the Fermi energy	0.903	states/eV per atom
magnetic moment	0.000	μB/f.u.
formation energy without anion corrections	-0.12	eV/atom
crystal system	tetragonal

Cell lengths 8.0346, 8.0346, 8.0346 Å; angles 106.88, 106.88, 114.79 degrees
Positions (direct):
1 Pm 0.3160 0.5113 0.8047
2 Pm 0.7878 0.9872 0.8006
3 Pm 0.7372 0.4366 0.6994
4 Pm 0.7066 0.5113 0.1953
5 Pm 0.2613 0.5660 0.3047
6 Pm 0.7372 0.0378 0.3006
7 Si 0.2526 0.2526 0.0000
8 Os 0.5003 0.0003 0.5000
9 Pm 0.1866 0.9872 0.1994
10 Os 0.7503 0.7503 0.0000
11 Pm 0.2613 0.9566 0.6953
12 Si 0.0026 0.5026 0.5000



4.
DFT (GGA-PBE) results for PmSi3Os3 after structural relaxation.

Output
DOS at the Fermi energy	0.369	states/eV per atom
magnetic moment	0.000	μB/f.u.
formation energy without anion corrections	0.03	eV/atom
crystal system	cubic

Cell lengths 6.5373, 6.5373, 6.5373 Å; angles 90.00, 90.00, 90.00 degrees
Positions (direct):
1 Os 0.0000 0.5000 0.2500
2 Si 0.2500 0.5000 0.0000
3 Pm 0.5000 0.5000 0.5000
4 Os 0.7500 0.0000 0.5000
5 Si 0.0000 0.2500 0.5000
6 Os 0.5000 0.2500 0.0000
7 Si 0.7500 0.5000 0.0000
8 Si 0.0000 0.7500 0.5000
9 Os 0.5000 0.7500 0.0000
10 Si 0.5000 0.0000 0.2500
11 Pm 0.0000 0.0000 0.0000
12 Os 0.2500 0.0000 0.5000
13 Os 0.0000 0.5000 0.7500
14 Si 0.5000 0.0000 0.7500



5.
DFT (GGA-PBE) results for PmSi7Os3 after structural relaxation.

Output
DOS at the Fermi energy	0.497	states/eV per atom
magnetic moment	0.000	μB/f.u.
formation energy without anion corrections	-0.44	eV/atom
crystal system	trigonal

Cell lengths 7.6826, 7.6826, 8.0581 Å; angles 61.53, 61.53, 60.00 degrees
Positions (direct):
1 Si 0.2500 0.2500 0.2500
2 Si 0.1694 0.3534 0.9161
3 Si 0.8306 0.6466 0.0839
4 Si 0.7500 0.7500 0.7500
5 Si 0.9389 0.1466 0.5839
6 Os 0.0779 0.7500 0.7500
7 Pm 0.0000 0.0000 0.0000
8 Os 0.9221 0.2500 0.2500
9 Si 0.3534 0.5611 0.9161
10 Os 0.4221 0.0779 0.7500
11 Si 0.4389 0.8306 0.0839
12 Pm 0.5000 0.5000 0.5000
13 Os 0.7500 0.4221 0.7500
14 Si 0.6466 0.4389 0.0839
15 Os 0.2500 0.5779 0.2500
16 Si 0.3306 0.9389 0.5839
17 Si 0.6694 0.0611 0.4161
18 Os 0.5779 0.9221 0.2500
19 Si 0.8534 0.6694 0.4161
20 Si 0.1466 0.3306 0.5839
21 Si 0.0611 0.8534 0.4161
22 Si 0.5611 0.1694 0.9161



6.
DFT (GGA-PBE) results for Pm3Si2Os after structural relaxation.

Output
DOS at the Fermi energy	0.878	states/eV per atom
magnetic moment	0.000	μB/f.u.
formation energy without anion corrections	-0.57	eV/atom
crystal system	orthorhombic

Cell lengths 4.2355, 11.6045, 11.8419 Å; angles 90.00, 90.00, 90.00 degrees
Positions (direct):
1 Si 0.2500 0.0117 0.3015
2 Pm 0.2500 0.4424 0.3800
3 Pm 0.7500 0.2005 0.2906
4 Pm 0.7500 0.8792 0.4391
5 Os 0.7500 0.8619 0.8723
6 Pm 0.2500 0.1208 0.5609
7 Si 0.2500 0.6860 0.4707
8 Si 0.7500 0.5117 0.1985
9 Pm 0.2500 0.0576 0.8800
10 Si 0.7500 0.9883 0.6985
11 Pm 0.2500 0.7005 0.2094
12 Si 0.2500 0.8140 0.9707
13 Pm 0.7500 0.5576 0.6200
14 Os 0.2500 0.1381 0.1277
15 Os 0.2500 0.3619 0.6277
16 Pm 0.2500 0.7995 0.7094
17 Pm 0.7500 0.9424 0.1200
18 Os 0.7500 0.6381 0.3723
19 Pm 0.7500 0.6208 0.9391
20 Si 0.2500 0.4883 0.8015
21 Si 0.7500 0.3140 0.5293
22 Pm 0.7500 0.2995 0.7906
23 Pm 0.2500 0.3792 0.0609
24 Si 0.7500 0.1860 0.0293



7.
DFT (GGA-PBE) results for Pm3Si3Os2 after structural relaxation.

Output
DOS at the Fermi energy	0.542	states/eV per atom
magnetic moment	0.000	μB/f.u.
formation energy without anion corrections	-0.68	eV/atom
crystal system	orthorhombic

Cell lengths 4.2265, 5.9550, 13.9627 Å; angles 90.00, 90.00, 110.79 degrees
Positions (direct):
1 Pm 0.9243 0.8487 0.1159
2 Pm 0.6367 0.2735 0.2500
3 Os 0.7841 0.5682 0.5811
4 Si 0.6824 0.3647 0.7500
5 Pm 0.0757 0.1513 0.8841
6 Pm 0.3633 0.7265 0.7500
7 Os 0.2159 0.4318 0.0811
8 Si 0.3176 0.6353 0.2500
9 Pm 0.0757 0.1513 0.6159
10 Si 0.3751 0.7503 0.5385
11 Os 0.2159 0.4318 0.4189
12 Si 0.6249 0.2497 0.0385
13 Os 0.7841 0.5682 0.9189
14 Si 0.6249 0.2497 0.4615
15 Si 0.3751 0.7503 0.9615
16 Pm 0.9243 0.8487 0.3841



8.
DFT (GGA-PBE) results for Pm3Si4Os4 after structural relaxation.

Output
DOS at the Fermi energy	0.601	states/eV per atom
magnetic moment	0.000	μB/f.u.
formation energy without anion corrections	-0.62	eV/atom
crystal system	cubic

Cell lengths 6.4998, 6.4998, 6.4998 Å; angles 109.47, 109.47, 109.47 degrees
Positions (direct):
1 Pm 0.5000 0.5000 0.0000
2 Os 0.7301 0.7301 0.7301
3 Si 0.6300 0.0000 0.0000
4 Os 0.2699 0.0000 0.0000
5 Pm 0.5000 0.0000 0.5000
6 Os 0.0000 0.0000 0.2699
7 Pm 0.0000 0.5000 0.5000
8 Os 0.0000 0.2699 0.0000
9 Si 0.3700 0.3700 0.3700
10 Si 0.0000 0.6300 0.0000
11 Si 0.0000 0.0000 0.6300



9.
DFT (GGA-PBE) results for PmSi3Os after structural relaxation.

Output
DOS at the Fermi energy	0.553	states/eV per atom
magnetic moment	0.000	μB/f.u.
formation energy without anion corrections	-0.46	eV/atom
crystal system	orthorhombic

Cell lengths 5.7643, 5.6352, 5.9600 Å; angles 90.00, 90.00, 90.00 degrees
Positions (direct):
1 Si 0.4344 0.2048 0.2008
2 Si 0.9289 0.5180 0.4858
3 Os 0.1472 0.8021 0.7008
4 Pm 0.9386 0.0227 0.2008
5 Si 0.4290 0.8348 0.9858
6 Si 0.9290 0.5180 0.9157
7 Si 0.4290 0.8348 0.4157
8 Pm 0.4386 0.3301 0.7008
9 Os 0.6473 0.5506 0.2008
10 Si 0.9343 0.1480 0.7008



10.
DFT (GGA-PBE) results for Pm3Si2Os after structural relaxation.

Output
DOS at the Fermi energy	0.639	states/eV per atom
magnetic moment	0.000	μB/f.u.
formation energy without anion corrections	-0.38	eV/atom
crystal system	trigonal

Cell lengths 7.3383, 7.3383, 7.3383 Å; angles 65.26, 65.26, 65.26 degrees
Positions (direct):
1 Si 0.3568 0.3568 0.3568
2 Pm 0.2500 0.5618 0.9382
3 Os 0.0000 0.0000 0.0000
4 Pm 0.9382 0.2500 0.5618
5 Si 0.1432 0.1432 0.1432
6 Pm 0.0618 0.7500 0.4382
7 Os 0.5000 0.5000 0.5000
8 Pm 0.5618 0.9382 0.2500
9 Si 0.8568 0.8568 0.8568
10 Pm 0.4382 0.0618 0.7500
11 Si 0.6432 0.6432 0.6432
12 Pm 0.7500 0.4382 0.0618



11.
DFT (GGA-PBE) results for Pm2Si3Os after structural relaxation.

Output
DOS at the Fermi energy	0.778	states/eV per atom
magnetic moment	0.000	μB/f.u.
formation energy without anion corrections	-0.63	eV/atom
crystal system	orthorhombic

Cell lengths 5.8880, 5.8880, 8.2677 Å; angles 110.92, 110.92, 89.84 degrees
Positions (direct):
1 Si 0.3346 0.8340 0.1686
2 Pm 0.2575 0.2575 0.0000
3 Pm 0.7500 0.2500 0.5000
4 Pm 0.2500 0.7500 0.5000
5 Si 0.8314 0.8314 0.6628
6 Pm 0.7425 0.7425 0.0000
7 Si 0.6654 0.1660 0.8314
8 Os 0.6653 0.6653 0.3307
9 Si 0.1660 0.6654 0.8314
10 Os 0.3347 0.3347 0.6693
11 Si 0.1686 0.1686 0.3372
12 Si 0.8340 0.3346 0.1686



12.
DFT (GGA-PBE) results for PmSiOs after structural relaxation.

Output
DOS at the Fermi energy	0.683	states/eV per atom
magnetic moment	0.000	μB/f.u.
formation energy without anion corrections	-0.11	eV/atom
crystal system	trigonal

Cell lengths 3.8430, 3.8430, 10.7924 Å; angles 90.00, 90.00, 120.00 degrees
Positions (direct):
1 Os 0.3333 0.6667 0.6580
2 Os 0.6667 0.3333 0.3420
3 Si 0.6667 0.3333 0.5709
4 Pm 0.6667 0.3333 0.8425
5 Si 0.3333 0.6667 0.4291
6 Pm 0.3333 0.6667 0.1575



13.
DFT (GGA-PBE) results for PmSiOs after structural relaxation.

Output
DOS at the Fermi energy	0.877	states/eV per atom
magnetic moment	0.000	μB/f.u.
formation energy without anion corrections	-0.46	eV/atom
crystal system	hexagonal

Cell lengths 4.2507, 4.1244, 4.1244 Å; angles 120.00, 90.00, 90.00 degrees
Positions (direct):
1 Pm 0.6665 0.6667 0.3333
2 Os 0.1668 0.3333 0.6667
3 Si 0.1667 0.0000 0.0000



14.
DFT (GGA-PBE) results for PmSi2Os4 after structural relaxation.

Output
DOS at the Fermi energy	0.511	states/eV per atom
magnetic moment	0.000	μB/f.u.
formation energy without anion corrections	-0.49	eV/atom
crystal system	orthorhombic

Cell lengths 3.9867, 4.0025, 7.3871 Å; angles 105.72, 90.00, 90.00 degrees
Positions (direct):
1 Os 0.5000 0.8127 0.6254
2 Si 0.5000 0.5853 0.1705
3 Os 0.0000 0.3100 0.6199
4 Os 0.0000 0.6900 0.3801
5 Os 0.5000 0.1873 0.3746
6 Si 0.5000 0.4147 0.8295
7 Pm 0.0000 0.0000 0.0000



15.
DFT (GGA-PBE) results for PmSi5Os2 after structural relaxation.

Output
DOS at the Fermi energy	0.304	states/eV per atom
magnetic moment	0.000	μB/f.u.
formation energy without anion corrections	-0.30	eV/atom
crystal system	orthorhombic

Cell lengths 4.0800, 6.2414, 6.2414 Å; angles 64.84, 70.92, 70.92 degrees
Positions (direct):
1 Os 0.2300 0.2700 0.2700
2 Si 0.6417 0.5502 0.1665
3 Si 0.3583 0.8335 0.4498
4 Si 0.3583 0.4498 0.8335
5 Pm 0.0000 0.0000 0.0000
6 Si 0.0000 0.5000 0.5000
7 Os 0.7700 0.7300 0.7300
8 Si 0.6417 0.1665 0.5502



16.
DFT (GGA-PBE) results for PmSi2TcOs after structural relaxation.

Output
DOS at the Fermi energy	0.858	states/eV per atom
magnetic moment	0.000	μB/f.u.
formation energy without anion corrections	-0.66	eV/atom
crystal system	tetragonal

Cell lengths 4.1910, 4.1910, 5.8048 Å; angles 111.16, 111.16, 90.00 degrees
Positions (direct):
1 Os 0.2500 0.7500 0.5000
2 Tc 0.7500 0.2500 0.5000
3 Pm 0.0000 0.0000 0.0000
4 Si 0.6287 0.6287 0.2574
5 Si 0.3713 0.3713 0.7426



17.
DFT (GGA-PBE) results for PmTiSi2Os after structural relaxation.

Output
DOS at the Fermi energy	0.395	states/eV per atom
magnetic moment	0.000	μB/f.u.
formation energy without anion corrections	-0.78	eV/atom
crystal system	tetragonal

Cell lengths 4.0392, 4.0392, 6.1432 Å; angles 109.19, 109.19, 90.00 degrees
Positions (direct):
1 Pm 0.0000 0.0000 0.0000
2 Si 0.3864 0.3864 0.7728
3 Os 0.7500 0.2500 0.5000
4 Si 0.6136 0.6136 0.2272
5 Ti 0.2500 0.7500 0.5000



18.
DFT (GGA-PBE) results for PmVSi2Os after structural relaxation.

Output
DOS at the Fermi energy	0.701	states/eV per atom
magnetic moment	0.701	μB/f.u.
formation energy without anion corrections	-0.64	eV/atom
crystal system	tetragonal

Cell lengths 4.0293, 4.0293, 6.0320 Å; angles 109.51, 109.51, 90.00 degrees
Site moments in Bohr magnetons follow the coordinates.
Positions (direct):
1 Si 0.3817 0.3817 0.7634  -0.01
2 Pm 0.0000 0.0000 0.0000  -0.02
3 Si 0.6183 0.6183 0.2366  -0.01
4 Os 0.2500 0.7500 0.5000  -0.07
5 V 0.7500 0.2500 0.5000  0.75



19.
DFT (GGA-PBE) results for Pm2Sm3Os2 after structural relaxation.

Output
DOS at the Fermi energy	0.744	states/eV per atom
formation energy	-0.130	eV per atom
magnetic moment	0.000	μB/f.u.
crystal system	monoclinic

Cell lengths 4.0115, 6.4491, 8.6004 Å; angles 111.88, 90.00, 108.12 degrees
Positions (direct):
1 Sm 0.3760 0.7520 0.5734
2 Pm 0.8343 0.6686 0.1893
3 Pm 0.1657 0.3314 0.8107
4 Os 0.8208 0.6417 0.7801
5 Sm 0.6240 0.2480 0.4266
6 Sm 0.5000 0.0000 0.0000
7 Os 0.1792 0.3583 0.2199



20.
DFT (GGA-PBE) results for PmSmOs after structural relaxation.

Output
DOS at the Fermi energy	0.544	states/eV per atom
formation energy	0.022	eV per atom
magnetic moment	0.000	μB/f.u.
crystal system	trigonal

Cell lengths 6.9340, 6.9340, 7.6161 Å; angles 62.92, 62.92, 60.00 degrees
Positions (direct):
1 Sm 0.5915 0.9055 0.2523
2 Pm 0.7455 0.4069 0.7614
3 Pm 0.0863 0.7455 0.7614
4 Os 0.6663 0.6663 0.0011
5 Pm 0.4069 0.0863 0.7614
6 Os 0.3251 0.3251 0.0246
7 Sm 0.2506 0.5915 0.2523
8 Sm 0.9055 0.2506 0.2523
9 Os 0.1711 0.1711 0.4868



21.
DFT (GGA-PBE) results for PmSm3Os after structural relaxation.

Output
DOS at the Fermi energy	0.980	states/eV per atom
formation energy	-0.100	eV per atom
magnetic moment	0.000	μB/f.u.
crystal system	monoclinic

Cell lengths 7.4494, 7.4494, 7.4403 Å; angles 108.16, 111.95, 108.38 degrees
Positions (direct):
1 Sm 0.1490 0.9466 0.7021
2 Sm 0.7021 0.4464 0.1484
3 Sm 0.2979 0.5536 0.8516
4 Sm 0.7555 0.5531 0.7021
5 Os 0.3726 0.2504 0.6230
6 Pm 0.7036 0.0539 0.7575
7 Sm 0.2445 0.4469 0.2979
8 Os 0.6274 0.7496 0.3770
9 Sm 0.8510 0.0534 0.2979
10 Pm 0.2964 0.9461 0.2425



22.
DFT (GGA-PBE) results for PmSmOs4 after structural relaxation.

Output
DOS at the Fermi energy	1.047	states/eV per atom
formation energy	-0.139	eV per atom
magnetic moment	0.000	μB/f.u.
crystal system	cubic

Cell lengths 5.4176, 5.4176, 5.4176 Å; angles 60.00, 60.00, 60.00 degrees
Positions (direct):
1 Os 0.6250 0.6250 0.6250
2 Sm 0.0000 0.0000 0.0000
3 Pm 0.2500 0.2500 0.2500
4 Os 0.1249 0.6250 0.6250
5 Os 0.6250 0.6250 0.1249
6 Os 0.6250 0.1249 0.6250



23.
DFT (GGA-PBE) results for Pm7SmOs2 after structural relaxation.

Output
DOS at the Fermi energy	1.167	states/eV per atom
formation energy	0.125	eV per atom
magnetic moment	0.000	μB/f.u.
crystal system	orthorhombic

Cell lengths 5.5783, 8.4249, 8.4249 Å; angles 116.58, 90.00, 90.00 degrees
Positions (direct):
1 Pm 0.0000 0.2945 0.7055
2 Os 0.5000 0.2967 0.7033
3 Pm 0.5000 0.3269 0.0579
4 Pm 0.5000 0.6731 0.9421
5 Os 0.5000 0.7033 0.2967
6 Pm 0.5000 0.9421 0.6731
7 Pm 0.5000 0.0579 0.3269
8 Pm 0.0000 0.7055 0.2945
9 Pm 0.5000 0.5000 0.5000
10 Sm 0.0000 0.0000 0.0000